DFT (PBE) results for a relaxed BeHI2N crystal.

The value obtained for the relative energy among the computed polymorphs is 694 meV/atom. The calculation puts the density of states at the Fermi level at 1.97 states/eV per cell. The value obtained for the total magnetization is 0.00 μB per cell.

The space group is P4/mmm (No. 123) and the conventional cell measures 5.5208, 5.5208 and 2.8543 Å, with angles of 90.00, 90.00 and 90.00 degrees. The distinct sites, in fractional coordinates, are Be at (0.0000, 0.0000, 0.0000), H at (0.5000, 0.5000, 0.5000), I at (0.0000, 0.5000, 0.5000) and N at (0.5000, 0.5000, 0.0000).